This record from Alexandria describes VO2 after structural relaxation. The functional is PBE+U.

The space group is R-3m (No. 166, hexagonal axes) and the conventional cell measures 2.9879, 2.9879 and 16.4321 Å, with angles of 90.00, 90.00 and 120.00 degrees. Symmetry generates all atoms from V at (0.0000, 0.0000, 0.0000) and O at (0.0000, 0.0000, 0.3916).

The calculation puts the density at 3.252 g cm⁻³. For the density of states at the Fermi level, the calculation gives 0.10 states/eV/cell. For the uncorrected energy, the calculation gives -7.604 eV/atom.